#one
{
  "formula": "Pm12GeRh6",
  "functional": "PBE",
  "state": "relaxed",
  "cell": [[0.4593, 5.3465, -6.8754], [6.1246, -6.1697, -0.7007], [-7.8760, -3.7377, 0.2552]],
  "species": ["Ge", "Pm", "Pm", "Pm", "Pm", "Pm", "Pm", "Pm", "Pm", "Pm", "Pm", "Pm", "Pm", "Rh", "Rh", "Rh", "Rh", "Rh", "Rh"],
  "frac_coords": [[0.0000, 0.0000, 0.0000], [0.1850, 0.3014, 0.4864], [0.8836, 0.1850, 0.6986], [0.4864, 0.1850, 0.3014], [0.3014, 0.1164, 0.8150], [0.1164, 0.8150, 0.3014], [0.6986, 0.5136, 0.8150], [0.1850, 0.6986, 0.8836], [0.3014, 0.4864, 0.1850], [0.6986, 0.8836, 0.1850], [0.8150, 0.3014, 0.1164], [0.8150, 0.6986, 0.5136], [0.5136, 0.8150, 0.6986], [0.1329, 0.6329, 0.5000], [0.5000, 0.8671, 0.3671], [0.6329, 0.5000, 0.1329], [0.5000, 0.1329, 0.6329], [0.3671, 0.5000, 0.8671], [0.8671, 0.3671, 0.5000]],
  "sg": "No. 204",
  "rho_g_cm3": 7.90,
  "magmom_total_mub_per_fu": 0.000
}

=====

#two
{
  "formula": "Pm12GeRh6",
  "functional": "PBE",
  "state": "relaxed",
  "cell": [[-0.3165, 8.3676, -1.0995], [-6.0014, -1.1549, 5.8289], [7.0158, -0.8202, 4.6294]],
  "species": ["Pm", "Pm", "Pm", "Pm", "Pm", "Pm", "Pm", "Pm", "Pm", "Pm", "Pm", "Pm", "Rh", "Rh", "Rh", "Rh", "Rh", "Rh", "Ge"],
  "frac_coords": [[0.8248, 0.5848, 0.4293], [0.5848, 0.4293, 0.8248], [0.9337, 0.3283, 0.0787], [0.4293, 0.8248, 0.5848], [0.9213, 0.0663, 0.6717], [0.5707, 0.1752, 0.4152], [0.4152, 0.5707, 0.1752], [0.3283, 0.0787, 0.9337], [0.1752, 0.4152, 0.5707], [0.0663, 0.6717, 0.9213], [0.0787, 0.9337, 0.3283], [0.6717, 0.9213, 0.0663], [0.3117, 0.1388, 0.6142], [0.1388, 0.6142, 0.3117], [0.6142, 0.3117, 0.1388], [0.8612, 0.3858, 0.6883], [0.3858, 0.6883, 0.8612], [0.6883, 0.8612, 0.3858], [0.0000, 0.0000, 0.0000]],
  "sg": "No. 148",
  "rho_g_cm3": 7.20,
  "magmom_total_mub_per_fu": 0.000
}

=====

The relative energies come out as #one 0.0; #two 3.7, with values in kJ/mol of atoms.